Entry from Alexandria: Sr2HoGeS5 after structural relaxation (PBE-GGA).

Unit cell a=4.192 b=17.531 c=12.122 alpha=90.00 beta=90.00 gamma=90.00
Space group Cmc2_1 (No. 36)
Asymmetric unit:
Sr1 0.000 0.117 0.000
Sr2 0.000 0.125 0.642
Ho1 0.000 0.208 0.343
Ge1 0.000 0.446 0.759
S1 0.000 0.044 0.345
S2 0.000 0.295 0.988
S3 0.000 0.318 0.690
S4 0.000 0.356 0.324
S5 0.000 0.499 0.089

Properties
DOS(E_F)   5.57 states/eV per cell
Raw total energy   -5.291 eV/atom
V   890.9 Å³/cell
Size of the total moment   0.00 μB/f.u.